PaZnGaN | GGA-PBE | optimized geometry

a b c (Å): 4.0437 4.0437 8.1615
angles (deg): 90.00 90.00 90.00
Element x y z (fractional)
Pa 0.5000 0.0000 0.1368
Pa 0.0000 0.5000 0.8632
Zn 0.0000 0.0000 0.5000
Zn 0.5000 0.5000 0.5000
Ga 0.0000 0.5000 0.3098
Ga 0.5000 0.0000 0.6902
N 0.5000 0.5000 0.0000
N 0.0000 0.0000 0.0000

N(E_F) = 0.633 states/eV per atom
Electronic total energy = -25.654 eV/f.u.
Formation energy (no corrections) = -0.883 eV/atom